This record from Alexandria describes a relaxed structure of NiH3Pd2. The functional is PBE.

* energy above the lowest structure with this stoichiometry: 5 meV/atom
* electronic total energy: -4.4114 eV/atom
* total magnetization: 0.000 μB per formula unit
* calculated volume: 8.2 Å³/atom

a = 3.8169 Å, b = 5.6969 Å, c = 5.0933 Å
α = 105.86°, β = 112.01°, γ = 90.00°
Fractional coordinates of all 12 atoms:
Pd (0.6600, 0.0799, 0.3194)
Pd (0.3406, 0.4201, 0.6806)
H (0.4875, 0.2500, 0.0000)
Pd (0.3400, 0.9201, 0.6806)
Ni (0.9987, 0.7500, 0.0000)
H (0.8720, 0.4380, 0.7433)
H (0.5125, 0.7500, 0.0000)
Ni (0.0013, 0.2500, 0.0000)
H (0.8712, 0.9380, 0.7433)
H (0.1280, 0.5620, 0.2567)
Pd (0.6594, 0.5799, 0.3194)
H (0.1288, 0.0620, 0.2567)